BaSrAg2Pd: relaxed, GGA-PBE.

Unit cell a=5.963 b=5.963 c=5.544 alpha=90.00 beta=90.00 gamma=90.00
Element x y z (fractional)
Ba 0.000 0.000 0.000
Sr 0.500 0.500 0.500
Ag 0.000 0.500 0.000
Ag 0.500 0.000 0.000
Pd 0.000 0.000 0.500

Calculated values
**Symmetry**: P4/mmm
**Spin magnetization**: 0.0 μB per formula unit
**Volume**: 39.4 A^3/atom
**Energy of formation from the pure elements**: 398.8 meV/atom